[1]
SrNi3P: relaxed, PBE-GGA.

ΔE_f: -141 kJ/mol of formula units
crystal system: cubic
total DFT energy (no corrections): -5.1794 eV per atom
symmetry: No. 221
offset from the most stable computed form: 0.00 eV per formula unit
DOS at the Fermi energy: 5.24 states/eV per cell

Cell lengths 4.3624, 4.3624, 4.3624 Å; angles 90.00, 90.00, 90.00 degrees
Atoms (fractional coordinates):
Sr 0.0000 0.0000 0.0000
Ni 0.0000 0.5000 0.5000
Ni 0.5000 0.0000 0.5000
Ni 0.5000 0.5000 0.0000
P 0.5000 0.5000 0.5000

=====

[2]
SrNiP: relaxed, PBE-GGA.

ΔE_f: 157 kJ/mol of formula units
crystal system: cubic
total DFT energy (no corrections): -3.7495 eV per atom
symmetry: No. 216
DOS at the Fermi energy: 3.10 states/eV per cell

Cell lengths 4.7861, 4.7861, 4.7861 Å; angles 60.00, 60.00, 60.00 degrees
Atoms (fractional coordinates):
Sr 0.0000 0.0000 0.0000
Ni 0.2500 0.2500 0.2500
P 0.7500 0.7500 0.7500

=====

[3]
SrNi4P: relaxed, PBE-GGA.

ΔE_f: 77 kJ/mol of formula units
crystal system: cubic
total DFT energy (no corrections): -4.9023 eV per atom
symmetry: No. 216
DOS at the Fermi energy: 7.35 states/eV per cell

Cell lengths 4.9737, 4.9737, 4.9737 Å; angles 60.00, 60.00, 60.00 degrees
Atoms (fractional coordinates):
Sr 0.0000 0.0000 0.0000
Ni 0.1294 0.6235 0.6235
Ni 0.6235 0.1294 0.6235
Ni 0.6235 0.6235 0.1294
Ni 0.6235 0.6235 0.6235
P 0.2500 0.2500 0.2500

=====

[4]
SrNi3P3: relaxed, PBE-GGA.

ΔE_f: -413 kJ/mol of formula units
crystal system: cubic
total DFT energy (no corrections): -5.6485 eV per atom
symmetry: No. 223
offset from the most stable computed form: 0.00 eV per formula unit
DOS at the Fermi energy: 7.68 states/eV per cell

Cell lengths 6.2146, 6.2146, 6.2146 Å; angles 90.00, 90.00, 90.00 degrees
Atoms (fractional coordinates):
Sr 0.0000 0.0000 0.0000
Sr 0.5000 0.5000 0.5000
Ni 0.0000 0.2500 0.5000
Ni 0.0000 0.7500 0.5000
Ni 0.2500 0.5000 0.0000
Ni 0.5000 0.0000 0.2500
Ni 0.5000 0.0000 0.7500
Ni 0.7500 0.5000 0.0000
P 0.0000 0.5000 0.2500
P 0.0000 0.5000 0.7500
P 0.2500 0.0000 0.5000
P 0.5000 0.2500 0.0000
P 0.5000 0.7500 0.0000
P 0.7500 0.0000 0.5000

=====

[5]
Sr2NiP: relaxed, PBE-GGA.

ΔE_f: -22 kJ/mol of formula units
crystal system: tetragonal
total DFT energy (no corrections): -3.6944 eV per atom
symmetry: No. 122
offset from the most stable computed form: 2.50 eV per formula unit
DOS at the Fermi energy: 4.46 states/eV per cell

Cell lengths 6.6057, 6.6057, 6.6057 Å; angles 105.82, 105.82, 117.06 degrees
Atoms (fractional coordinates):
Sr 0.1217 0.6250 0.9967
Sr 0.3750 0.3717 0.4967
Sr 0.6283 0.1250 0.0033
Sr 0.8750 0.8783 0.5033
Ni 0.0000 0.0000 0.0000
Ni 0.7500 0.2500 0.5000
P 0.2500 0.7500 0.5000
P 0.5000 0.5000 0.0000

=====

[6]
Sr2Ni5P4: relaxed, PBE-GGA.

ΔE_f: -711 kJ/mol of formula units
crystal system: orthorhombic
total DFT energy (no corrections): -5.5711 eV per atom
symmetry: No. 69
DOS at the Fermi energy: 6.03 states/eV per cell

Cell lengths 8.0401, 6.6919, 5.9220 Å; angles 78.94, 54.77, 46.29 degrees
Atoms (fractional coordinates):
Sr 0.1450 0.1450 0.8550
Sr 0.8550 0.8550 0.1450
Ni 0.0000 0.0000 0.5000
Ni 0.2500 0.2500 0.2500
Ni 0.5000 0.5000 0.0000
Ni 0.5000 0.5000 0.5000
Ni 0.7500 0.7500 0.7500
P 0.2160 0.5302 0.4698
P 0.4698 0.7840 0.2160
P 0.5302 0.2160 0.7840
P 0.7840 0.4698 0.5302

=====

[7]
SrNi2P2: relaxed, PBE-GGA.

ΔE_f: -378 kJ/mol of formula units
crystal system: orthorhombic
total DFT energy (no corrections): -5.5959 eV per atom
symmetry: No. 71
DOS at the Fermi energy: 9.12 states/eV per cell

Cell lengths 8.2139, 8.2139, 8.2139 Å; angles 152.21, 99.13, 87.51 degrees
Atoms (fractional coordinates):
Sr 0.0000 0.0000 0.0000
Sr 0.3177 0.3177 0.0000
Sr 0.6823 0.6823 0.0000
Ni 0.1031 0.8425 0.2607
Ni 0.2700 0.5000 0.7700
Ni 0.4182 0.1575 0.2607
Ni 0.5818 0.8425 0.7393
Ni 0.7300 0.5000 0.2300
Ni 0.8969 0.1575 0.7393
P 0.0047 0.6639 0.3408
P 0.3231 0.6639 0.6592
P 0.3787 0.0000 0.3787
P 0.6213 0.0000 0.6213
P 0.6769 0.3361 0.3408
P 0.9953 0.3361 0.6592

=====

[8]
Sr2NiP2: relaxed, PBE-GGA.

ΔE_f: -270 kJ/mol of formula units
crystal system: tetragonal
total DFT energy (no corrections): -4.5525 eV per atom
symmetry: No. 127
DOS at the Fermi energy: 2.64 states/eV per cell

Cell lengths 6.8345, 6.8345, 4.5735 Å; angles 90.00, 90.00, 90.00 degrees
Atoms (fractional coordinates):
Sr 0.1802 0.3198 0.0000
Sr 0.3198 0.8198 0.0000
Sr 0.6802 0.1802 0.0000
Sr 0.8198 0.6802 0.0000
Ni 0.0000 0.0000 0.5000
Ni 0.5000 0.5000 0.5000
P 0.1209 0.6209 0.5000
P 0.3791 0.1209 0.5000
P 0.6209 0.8791 0.5000
P 0.8791 0.3791 0.5000

=====

[9]
Sr2Ni2P: relaxed, PBE-GGA.

ΔE_f: -70 kJ/mol of formula units
crystal system: tetragonal
total DFT energy (no corrections): -4.2129 eV per atom
symmetry: No. 127
offset from the most stable computed form: 1.62 eV per formula unit
DOS at the Fermi energy: 10.03 states/eV per cell

Cell lengths 6.7715, 6.7715, 4.4540 Å; angles 90.00, 90.00, 90.00 degrees
Atoms (fractional coordinates):
Sr 0.1861 0.3139 0.0000
Sr 0.3139 0.8139 0.0000
Sr 0.6861 0.1861 0.0000
Sr 0.8139 0.6861 0.0000
Ni 0.1257 0.6257 0.5000
Ni 0.3743 0.1257 0.5000
Ni 0.6257 0.8743 0.5000
Ni 0.8743 0.3743 0.5000
P 0.0000 0.0000 0.5000
P 0.5000 0.5000 0.5000

=====

[10]
SrNi3P3: relaxed, PBE-GGA.

ΔE_f: -398 kJ/mol of formula units
crystal system: trigonal
total DFT energy (no corrections): -5.6256 eV per atom
symmetry: No. 148
offset from the most stable computed form: 0.16 eV per formula unit
DOS at the Fermi energy: 6.29 states/eV per cell

Cell lengths 7.9589, 7.9589, 7.9589 Å; angles 48.10, 48.10, 48.10 degrees
Atoms (fractional coordinates):
Sr 0.1669 0.1669 0.1669
Sr 0.8331 0.8331 0.8331
Ni 0.0350 0.7084 0.3716
Ni 0.2916 0.6284 0.9650
Ni 0.3716 0.0350 0.7084
Ni 0.6284 0.9650 0.2916
Ni 0.7084 0.3716 0.0350
Ni 0.9650 0.2916 0.6284
P 0.0742 0.3991 0.7246
P 0.2754 0.9258 0.6009
P 0.3991 0.7246 0.0742
P 0.6009 0.2754 0.9258
P 0.7246 0.0742 0.3991
P 0.9258 0.6009 0.2754

=====

[11]
SrNi3P: relaxed, PBE-GGA.

ΔE_f: 931 kJ/mol of formula units
crystal system: cubic
total DFT energy (no corrections): -2.9567 eV per atom
symmetry: No. 221
offset from the most stable computed form: 11.11 eV per formula unit
DOS at the Fermi energy: 5.09 states/eV per cell

Cell lengths 4.6905, 4.6905, 4.6905 Å; angles 90.00, 90.00, 90.00 degrees
Atoms (fractional coordinates):
Sr 0.0000 0.0000 0.0000
Ni 0.0000 0.0000 0.5000
Ni 0.0000 0.5000 0.0000
Ni 0.5000 0.0000 0.0000
P 0.5000 0.5000 0.5000

=====

[12]
Sr2NiP: relaxed, PBE-GGA.

ΔE_f: -213 kJ/mol of formula units
crystal system: orthorhombic
total DFT energy (no corrections): -4.1911 eV per atom
symmetry: No. 44
offset from the most stable computed form: 0.51 eV per formula unit
DOS at the Fermi energy: 3.74 states/eV per cell

Cell lengths 8.2315, 8.2315, 8.2315 Å; angles 151.17, 150.37, 41.82 degrees
Atoms (fractional coordinates):
Sr 0.0000 0.0000 0.0000
Sr 0.7706 0.2706 0.5000
Ni 0.4055 0.4055 0.0000
P 0.3598 0.8598 0.5000

=====

[13]
Sr2NiP2: relaxed, PBE-GGA.

ΔE_f: -435 kJ/mol of formula units
crystal system: monoclinic
total DFT energy (no corrections): -4.8945 eV per atom
symmetry: No. 12
DOS at the Fermi energy: 3.96 states/eV per cell

Cell lengths 5.9656, 5.9656, 10.6803 Å; angles 106.88, 106.88, 38.71 degrees
Atoms (fractional coordinates):
Sr 0.0898 0.0898 0.4016
Sr 0.3028 0.3028 0.8628
Sr 0.6972 0.6972 0.1372
Sr 0.9102 0.9102 0.5984
Ni 0.4304 0.4304 0.1768
Ni 0.5696 0.5696 0.8232
P 0.0369 0.0369 0.9092
P 0.3523 0.3523 0.3460
P 0.6477 0.6477 0.6540
P 0.9631 0.9631 0.0908

=====

[14]
Sr2NiP2: relaxed, PBE-GGA.

ΔE_f: -189 kJ/mol of formula units
crystal system: tetragonal
total DFT energy (no corrections): -4.3857 eV per atom
symmetry: No. 139
DOS at the Fermi energy: 4.06 states/eV per cell

Cell lengths 5.4844, 5.4844, 5.4844 Å; angles 113.49, 113.49, 101.71 degrees
Atoms (fractional coordinates):
Sr 0.2500 0.7500 0.5000
Sr 0.7500 0.2500 0.5000
Ni 0.0000 0.0000 0.0000
P 0.3179 0.3179 0.0000
P 0.6821 0.6821 0.0000

=====

[15]
SrNiP: relaxed, PBE-GGA.

ΔE_f: -230 kJ/mol of formula units
crystal system: triclinic
total DFT energy (no corrections): -5.0853 eV per atom
symmetry: No. 2
DOS at the Fermi energy: 5.45 states/eV per cell

Cell lengths 3.9761, 5.9529, 6.2445 Å; angles 95.15, 107.83, 109.40 degrees
Atoms (fractional coordinates):
Sr 0.2352 0.1876 0.2934
Sr 0.7648 0.8124 0.7066
Ni 0.1499 0.4222 0.8735
Ni 0.8501 0.5778 0.1265
P 0.4601 0.7463 0.1812
P 0.5399 0.2537 0.8188

=====

[16]
Sr2NiP: relaxed, PBE-GGA.

ΔE_f: -104 kJ/mol of formula units
crystal system: orthorhombic
total DFT energy (no corrections): -3.9072 eV per atom
symmetry: No. 47
offset from the most stable computed form: 1.64 eV per formula unit
DOS at the Fermi energy: 3.23 states/eV per cell

Cell lengths 3.6682, 3.8609, 7.0595 Å; angles 90.00, 90.00, 90.00 degrees
Atoms (fractional coordinates):
Sr 0.0000 0.0000 0.2383
Sr 0.0000 0.0000 0.7617
Ni 0.5000 0.5000 0.5000
P 0.5000 0.5000 0.0000

=====

[17]
Sr2NiP: relaxed, PBE-GGA.

ΔE_f: -262 kJ/mol of formula units
crystal system: trigonal
total DFT energy (no corrections): -4.3184 eV per atom
symmetry: No. 160
offset from the most stable computed form: 0.00 eV per formula unit
DOS at the Fermi energy: 3.61 states/eV per cell

Cell lengths 8.3220, 8.3220, 8.3220 Å; angles 28.33, 28.33, 28.33 degrees
Atoms (fractional coordinates):
Sr 0.0000 0.0000 0.0000
Sr 0.1684 0.1684 0.1684
Ni 0.4173 0.4173 0.4173
P 0.7511 0.7511 0.7511

=====

[18]
SrNi5P2: relaxed, PBE-GGA.

ΔE_f: -430 kJ/mol of formula units
crystal system: orthorhombic
total DFT energy (no corrections): -5.7337 eV per atom
symmetry: No. 71
DOS at the Fermi energy: 6.81 states/eV per cell

Cell lengths 5.9381, 5.9381, 5.9381 Å; angles 143.70, 113.35, 78.33 degrees
Atoms (fractional coordinates):
Sr 0.0000 0.0000 0.0000
Ni 0.1509 0.3377 0.8133
Ni 0.4756 0.6623 0.8133
Ni 0.5000 0.0000 0.5000
Ni 0.5244 0.3377 0.1867
Ni 0.8491 0.6623 0.1867
P 0.2625 0.7625 0.5000
P 0.7375 0.2375 0.5000

=====

[19]
Sr2Ni2P: relaxed, PBE-GGA.

ΔE_f: -226 kJ/mol of formula units
crystal system: orthorhombic
total DFT energy (no corrections): -4.5364 eV per atom
symmetry: No. 62
offset from the most stable computed form: 0.00 eV per formula unit
DOS at the Fermi energy: 13.16 states/eV per cell

Cell lengths 7.3832, 4.3922, 14.2835 Å; angles 90.00, 90.00, 90.00 degrees
Atoms (fractional coordinates):
Sr 0.1747 0.2500 0.1691
Sr 0.1839 0.2500 0.4395
Sr 0.3161 0.7500 0.9395
Sr 0.3253 0.7500 0.6691
Sr 0.6747 0.2500 0.3309
Sr 0.6839 0.2500 0.0605
Sr 0.8161 0.7500 0.5605
Sr 0.8253 0.7500 0.8309
Ni 0.0348 0.2500 0.9563
Ni 0.0413 0.7500 0.3019
Ni 0.4587 0.2500 0.8019
Ni 0.4652 0.7500 0.4563
Ni 0.5348 0.2500 0.5437
Ni 0.5413 0.7500 0.1981
Ni 0.9587 0.2500 0.6981
Ni 0.9652 0.7500 0.0437
P 0.1572 0.2500 0.8115
P 0.3428 0.7500 0.3115
P 0.6572 0.2500 0.6885
P 0.8428 0.7500 0.1885

=====

[20]
Sr2NiP: relaxed, PBE-GGA.

ΔE_f: -62 kJ/mol of formula units
crystal system: orthorhombic
total DFT energy (no corrections): -3.8005 eV per atom
symmetry: No. 35
offset from the most stable computed form: 2.07 eV per formula unit
DOS at the Fermi energy: 3.51 states/eV per cell

Cell lengths 3.9266, 3.9266, 8.7957 Å; angles 90.00, 90.00, 114.78 degrees
Atoms (fractional coordinates):
Sr 0.0000 0.0000 0.0000
Sr 0.5000 0.5000 0.4165
Ni 0.0000 0.0000 0.6753
P 0.5000 0.5000 0.7478